## KNiCl (PBE)

Data for an optimized crystal structure of KNiCl.

ΔE to the lowest computed polymorph ... 0.916 eV/f.u.
Density of states at the Fermi level ... 0.4 states/eV/f.u.
E_tot ... -9.66 eV for the cell shown
Symmetry ... P-6m2 (187)
Crystal system ... hexagonal
Calculated volume ... 65.9 Å³/cell
Formation energy (no corrections) ... -310 meV per atom

Structure (POSCAR):
```
KNiCl
1.0
3.9690 0.0000 0.0000
-1.9845 3.4373 0.0000
0.0000 0.0000 4.8304
K Ni Cl
1 1 1
Direct
0.0000 0.0000 0.0000
0.6667 0.3333 0.5000
0.3333 0.6667 0.5000
```


## Tb3Co3Ge8 (PBE)

Data for an optimized crystal structure of Tb3Co3Ge8.

Density of states at the Fermi level ... 7.7 states/eV/f.u.
E_tot ... -78.37 eV for the cell shown
Symmetry ... C2/m (12)
Crystal system ... monoclinic
Calculated volume ... 253.8 Å³/cell
Formation energy from the elements ... -6.22 eV per formula unit

Structure (POSCAR):
```
Tb3Co3Ge8
1.0
8.2870 -2.0661 0.0000
8.2870 2.0661 0.0000
-3.3971 0.0000 7.4116
Tb Co Ge
3 3 8
Direct
0.0000 0.0000 0.0000
0.2694 0.2694 0.3112
0.7306 0.7306 0.6888
0.0000 0.0000 0.5000
0.3473 0.3473 0.0097
0.6527 0.6527 0.9903
0.1202 0.1202 0.4296
0.1805 0.1805 0.8993
0.3742 0.3742 0.7555
0.4675 0.4675 0.3002
0.5325 0.5325 0.6998
0.6258 0.6258 0.2445
0.8195 0.8195 0.1007
0.8798 0.8798 0.5704
```


## SmSc3Mn (PBE)

Data for an optimized crystal structure of SmSc3Mn.

Density of states at the Fermi level ... 7.0 states/eV/f.u.
E_tot ... -32.28 eV for the cell shown
Symmetry ... Pm-3m (221)
Crystal system ... cubic
Calculated volume ... 122.3 Å³/cell
Formation energy from the elements ... 0.60 eV per formula unit

Structure (POSCAR):
```
SmSc3Mn
1.0
4.9632 0.0000 0.0000
0.0000 4.9632 0.0000
0.0000 0.0000 4.9632
Sm Sc Mn
1 3 1
Direct
0.0000 0.0000 0.0000
0.0000 0.5000 0.5000
0.5000 0.0000 0.5000
0.5000 0.5000 0.0000
0.5000 0.5000 0.5000
```